Run one
The following is a PBE calculation of a relaxed structure of NdTmCdAu, from Alexandria via LeMat-Bulk.

Results
symmetry: F-43m, No. 216

Cell lengths 5.2393, 5.2393, 5.2393 Å; angles 60.00, 60.00, 60.00 degrees
Fractional coordinates of all 4 atoms:
Nd1 0.0000 0.0000 0.0000
Tm1 0.5000 0.5000 0.5000
Au1 0.2500 0.2500 0.2500
Cd1 0.7500 0.7500 0.7500

---

Run two
The following is a PBE calculation of a relaxed structure of NdTmCdAu, from Alexandria via LeMat-Bulk.

Results
symmetry: P4mm, No. 99

Cell lengths 3.6763, 3.6763, 7.5220 Å; angles 90.00, 90.00, 90.00 degrees
Fractional coordinates of all 4 atoms:
Nd1 0.0000 0.0000 0.8657
Tm1 0.0000 0.0000 0.3379
Cd1 0.5000 0.5000 0.5869
Au1 0.5000 0.5000 0.1374

---

We find run two to be the most stable, with the next structure 4.1 kJ/mol of atoms higher.